Record 1
Computed, not measured: La2FeCSe after structural relaxation at the GGA-PBE level of DFT. Values from VASP.

Summary:
Crystal system: tetragonal
Total magnetization, μB/f.u.: 0.13
Uncorrected formation energy, meV/atom: -722

```
&SYSTEM
  ibrav = 0, nat = 5, ntyp = 4
/
ATOMIC_SPECIES
La 138.91 La.upf
Fe 55.84 Fe.upf
C 12.01 C.upf
Se 78.96 Se.upf
ATOMIC_POSITIONS angstrom
La 0.000 2.662 0.000
La 2.662 0.000 0.000
Fe 0.000 0.000 1.843
C 0.000 0.000 0.000
Se 2.662 2.662 1.843
CELL_PARAMETERS angstrom
5.323 0.000 0.000
0.000 5.323 0.000
0.000 0.000 3.687
```

***

Record 2
Computed, not measured: DySbIr after structural relaxation at the GGA-PBE level of DFT. Values from VASP.

Summary:
Crystal system: tetragonal
Total magnetization, μB/f.u.: 0.00
Uncorrected formation energy, meV/atom: -351

```
&SYSTEM
  ibrav = 0, nat = 6, ntyp = 3
/
ATOMIC_SPECIES
Dy 162.50 Dy.upf
Sb 121.76 Sb.upf
Ir 192.22 Ir.upf
ATOMIC_POSITIONS angstrom
Dy 0.000 0.000 0.000
Dy 1.933 1.933 4.566
Sb 0.000 0.000 6.190
Sb 1.933 1.933 1.624
Ir 0.000 0.000 3.477
Ir 1.933 1.933 8.043
CELL_PARAMETERS angstrom
3.867 0.000 0.000
0.000 3.867 0.000
0.000 0.000 9.132
```

***

Record 3
Computed, not measured: Ho4SiSbC after structural relaxation at the GGA-PBE level of DFT. Values from VASP.

Summary:
Crystal system: orthorhombic
Total magnetization, μB/f.u.: 0.00
Uncorrected formation energy, meV/atom: -656

```
&SYSTEM
  ibrav = 0, nat = 14, ntyp = 4
/
ATOMIC_SPECIES
Ho 164.93 Ho.upf
Si 28.09 Si.upf
Sb 121.76 Sb.upf
C 12.01 C.upf
ATOMIC_POSITIONS angstrom
Ho 1.666 3.824 0.000
Ho 1.666 3.824 3.337
Ho 3.331 6.389 5.005
Ho 3.331 1.418 5.005
Ho 1.666 -3.824 0.000
Ho 1.666 -3.824 3.337
Ho 3.331 -1.418 1.668
Ho 3.331 -6.389 1.668
Si 3.331 5.892 1.668
Si 3.331 -5.892 5.005
Sb 3.331 1.630 1.668
Sb 3.331 -1.630 5.005
C 3.331 3.883 5.005
C 3.331 -3.883 1.668
CELL_PARAMETERS angstrom
3.331 -7.648 0.000
3.331 7.648 0.000
0.000 0.000 6.673
```

***

Record 4
Computed, not measured: PuSnIr after structural relaxation at the GGA-PBE level of DFT. Values from VASP.

Summary:
Crystal system: monoclinic
E_form, meV/atom: -500
Total magnetization, μB/f.u.: 1.79

```
&SYSTEM
  ibrav = 0, nat = 18, ntyp = 3
/
ATOMIC_SPECIES
Pu 244.00 Pu.upf
Sn 118.71 Sn.upf
Ir 192.22 Ir.upf
ATOMIC_POSITIONS angstrom
Pu 0.155 1.068 1.500
Pu 0.914 1.068 5.233
Pu 3.227 3.203 9.822
Pu 3.811 1.068 2.617
Pu 6.124 3.203 7.207
Pu 6.883 3.203 10.940
Sn 0.770 1.068 8.801
Sn 2.543 3.203 0.571
Sn 3.430 3.203 5.100
Sn 3.608 1.068 7.340
Sn 4.495 1.068 11.869
Sn 6.268 3.203 3.639
Ir 1.578 3.203 3.131
Ir 1.648 1.068 11.438
Ir 1.774 3.203 7.341
Ir 5.264 1.068 5.099
Ir 5.390 3.203 1.002
Ir 5.460 1.068 9.308
CELL_PARAMETERS angstrom
7.365 0.000 0.000
0.000 4.271 0.000
-0.327 0.000 12.440
```

***

Record 5
Computed, not measured: NaSmDy2Tl4 after structural relaxation at the GGA-PBE level of DFT. Values from VASP.

Summary:
Crystal system: trigonal
E_form, meV/atom: -296
Total magnetization, μB/f.u.: 0.00

```
&SYSTEM
  ibrav = 0, nat = 8, ntyp = 4
/
ATOMIC_SPECIES
Na 22.99 Na.upf
Sm 150.36 Sm.upf
Dy 162.50 Dy.upf
Tl 204.38 Tl.upf
ATOMIC_POSITIONS angstrom
Na 0.000 0.000 0.000
Sm 0.000 0.000 13.355
Dy 0.000 0.000 6.783
Dy 0.000 0.000 19.926
Tl 0.000 0.000 3.304
Tl 0.000 0.000 9.991
Tl 0.000 0.000 16.719
Tl 0.000 0.000 23.405
CELL_PARAMETERS angstrom
2.671 1.542 8.903
-2.671 1.542 8.903
0.000 -3.084 8.903
```

***

Record 6
Computed, not measured: CsGeP2O after structural relaxation at the GGA-PBE level of DFT. Values from VASP.

Summary:
Crystal system: tetragonal
Total magnetization, μB/f.u.: 0.80
Uncorrected formation energy, meV/atom: 1536

```
&SYSTEM
  ibrav = 0, nat = 5, ntyp = 4
/
ATOMIC_SPECIES
Cs 132.91 Cs.upf
Ge 72.64 Ge.upf
P 30.97 P.upf
O 16.00 O.upf
ATOMIC_POSITIONS angstrom
Cs 0.000 0.000 0.000
Ge 2.750 2.750 2.129
P 0.000 2.750 0.000
P 2.750 0.000 0.000
O 0.000 0.000 2.129
CELL_PARAMETERS angstrom
5.500 0.000 0.000
0.000 5.500 0.000
0.000 0.000 4.257
```

***

Record 7
Computed, not measured: Pu3HgRh2 after structural relaxation at the GGA-PBE level of DFT. Values from VASP.

Summary:
Crystal system: tetragonal
E_form, meV/atom: -341
Total magnetization, μB/f.u.: 15.99

```
&SYSTEM
  ibrav = 0, nat = 6, ntyp = 3
/
ATOMIC_SPECIES
Pu 244.00 Pu.upf
Hg 200.59 Hg.upf
Rh 102.91 Rh.upf
ATOMIC_POSITIONS angstrom
Pu 0.000 0.000 0.000
Pu 0.000 0.000 3.406
Pu 0.000 0.000 8.023
Hg 1.708 1.708 5.715
Rh 1.708 1.708 1.716
Rh 1.708 1.708 9.713
CELL_PARAMETERS angstrom
3.416 0.000 0.000
0.000 3.416 0.000
0.000 0.000 11.429
```

***

Record 8
Computed, not measured: LaHoPt4 after structural relaxation at the GGA-PBE level of DFT. Values from VASP.

Summary:
Crystal system: cubic
E_form, meV/atom: -1103
Total magnetization, μB/f.u.: 0.00

```
&SYSTEM
  ibrav = 0, nat = 6, ntyp = 3
/
ATOMIC_SPECIES
La 138.91 La.upf
Ho 164.93 Ho.upf
Pt 195.08 Pt.upf
ATOMIC_POSITIONS angstrom
La 0.000 0.000 0.000
Ho 5.827 5.827 5.827
Pt 2.917 2.917 2.917
Pt 4.852 4.852 2.917
Pt 4.852 2.917 4.852
Pt 2.917 4.852 4.852
CELL_PARAMETERS angstrom
0.000 3.885 3.885
3.885 0.000 3.885
3.885 3.885 0.000
```

***

Sequential raw total energy output: -34.64; -37.28; -83.34; -172.17; -27.07; -13.57; -60.05; -40.29 eV/cell